The following is a DFT calculation (PBE-GGA) of AlGeB3 after structural relaxation.

Lattice parameters (Å, degrees): 4.168 4.168 4.168 90.00 90.00 90.00
Positions (direct):
Ge (0.500, 0.500, 0.500)
B (0.000, 0.500, 0.000)
B (0.000, 0.000, 0.500)
B (0.500, 0.000, 0.000)
Al (0.000, 0.000, 0.000)

Output
The formation energy from the elements is 9.1 eV/f.u. The calculation puts the energy above the most stable polymorph in this dataset at 0 meV per atom. The total energy comes out at -3.87 eV/atom. Its space-group type is Pm-3m.